! MnTc3Au (GGA-PBEsol, optimized geometry); values from VASP
! total moment = 0.055 μB per atom
! calculated volume = 21.4 Å³/atom
! E = -6.881 eV per atom
&SYSTEM
  ibrav = 0, nat = 5, ntyp = 3
/
ATOMIC_SPECIES
Mn 54.94 Mn.upf
Au 196.97 Au.upf
Tc 98.00 Tc.upf
ATOMIC_POSITIONS angstrom
Mn -3.084 -2.613 -0.768
Au 0.000 0.000 0.000
Tc -0.104 -1.496 -1.842
Tc -0.718 -1.738 1.451
Tc -2.262 0.620 -0.377
CELL_PARAMETERS angstrom
-4.524 1.241 -0.753
-0.207 -2.992 -3.685
-1.437 -3.476 2.903